The following is a GGA-PBE calculation of a relaxed structure of Er2SbO, from Alexandria. Values from VASP.

Computed properties:
Energy above the lowest structure with this stoichiometry = 47.2 kJ/mol of formula units
N(E_F) = 0.62 states/eV/atom
E_form (uncorrected) = -6.7 eV per formula unit
Space-group type = No. 166

The structure in Quantum ESPRESSO input format:
```
&SYSTEM
  ibrav = 0, nat = 12, ntyp = 3
/
ATOMIC_SPECIES
Er 167.26 Er.upf
Sb 121.76 Sb.upf
O 16.00 O.upf
CELL_PARAMETERS angstrom
3.664 0.000 0.000
-1.832 3.173 0.000
0.000 0.000 20.828
ATOMIC_POSITIONS crystal
Er 0.000 0.000 0.227
Er 0.000 0.000 0.773
Er 0.333 0.667 0.440
Er 0.333 0.667 0.894
Er 0.667 0.333 0.106
Er 0.667 0.333 0.560
Sb 0.000 0.000 0.000
Sb 0.333 0.667 0.667
Sb 0.667 0.333 0.333
O 0.000 0.000 0.500
O 0.333 0.667 0.167
O 0.667 0.333 0.833
```

---

The following is a GGA-PBE calculation of a relaxed structure of Nb2MoPH, from Alexandria. Values from VASP.

Computed properties:
N(E_F) = 0.85 states/eV/atom
Total energy = -40.17 eV for the cell shown
Space-group type = No. 123

The structure in Quantum ESPRESSO input format:
```
&SYSTEM
  ibrav = 0, nat = 5, ntyp = 4
/
ATOMIC_SPECIES
Nb 92.91 Nb.upf
Mo 95.94 Mo.upf
P 30.97 P.upf
H 1.01 H.upf
CELL_PARAMETERS angstrom
4.187 0.000 0.000
0.000 4.187 0.000
0.000 0.000 3.792
ATOMIC_POSITIONS crystal
Nb 0.000 0.500 0.000
Nb 0.500 0.000 0.000
Mo 0.000 0.000 0.500
P 0.500 0.500 0.500
H 0.000 0.000 0.000
```

---

The following is a GGA-PBE calculation of a relaxed structure of LiDyTmGa, from Alexandria. Values from VASP.

Computed properties:
N(E_F) = 0.75 states/eV/atom
Total energy = -61.06 eV for the cell shown
Space-group type = No. 216

The structure in Quantum ESPRESSO input format:
```
&SYSTEM
  ibrav = 0, nat = 16, ntyp = 4
/
ATOMIC_SPECIES
Li 6.94 Li.upf
Dy 162.50 Dy.upf
Tm 168.93 Tm.upf
Ga 69.72 Ga.upf
CELL_PARAMETERS angstrom
7.152 0.000 0.000
0.000 7.152 0.000
0.000 0.000 7.152
ATOMIC_POSITIONS crystal
Li 0.000 0.000 0.000
Li 0.000 0.500 0.500
Li 0.500 0.000 0.500
Li 0.500 0.500 0.000
Dy 0.250 0.250 0.750
Dy 0.250 0.750 0.250
Dy 0.750 0.250 0.250
Dy 0.750 0.750 0.750
Tm 0.250 0.250 0.250
Tm 0.250 0.750 0.750
Tm 0.750 0.250 0.750
Tm 0.750 0.750 0.250
Ga 0.000 0.000 0.500
Ga 0.000 0.500 0.000
Ga 0.500 0.000 0.000
Ga 0.500 0.500 0.500
```

---

The following is a GGA-PBE calculation of a relaxed structure of NaSr2Dy, from Alexandria. Values from VASP.

Computed properties:
Energy above the lowest structure with this stoichiometry = 74.1 kJ/mol of formula units
N(E_F) = 1.06 states/eV/atom
Space-group type = No. 166

The structure in Quantum ESPRESSO input format:
```
&SYSTEM
  ibrav = 0, nat = 12, ntyp = 3
/
ATOMIC_SPECIES
Na 22.99 Na.upf
Sr 87.62 Sr.upf
Dy 162.50 Dy.upf
CELL_PARAMETERS angstrom
3.801 0.000 0.000
-1.901 3.292 0.000
0.000 0.000 41.465
ATOMIC_POSITIONS crystal
Na 0.000 0.000 0.000
Na 0.333 0.667 0.667
Na 0.667 0.333 0.333
Sr 0.000 0.000 0.414
Sr 0.000 0.000 0.586
Sr 0.333 0.667 0.081
Sr 0.333 0.667 0.252
Sr 0.667 0.333 0.748
Sr 0.667 0.333 0.919
Dy 0.000 0.000 0.500
Dy 0.333 0.667 0.167
Dy 0.667 0.333 0.833
```